## CaEu2Tm (GGA-PBE)

Data for an optimized crystal structure of CaEu2Tm.

DFT total energy in eV/atom: -6.632
DOS(E_F) in states/eV/f.u.: 4.0
ρ in g cm⁻³: 5.646
Energy of formation in meV/atom: 123

```
CaEu2Tm
1.0
-1.5677 -2.9576 -2.4784
-3.1164 -2.2351 4.6385
-4.6238 3.6003 -1.3717
Eu Ca Tm
2 1 1
direct
0.0000 0.0000 0.5000
0.0000 0.5000 0.0000
0.5000 0.0000 0.0000
0.5000 0.5000 0.5000
```

=====

## YTcPd2 (GGA-PBE)

Data for an optimized crystal structure of YTcPd2.

DFT total energy in eV/atom: -6.936
DOS(E_F) in states/eV/f.u.: 3.4
ρ in g cm⁻³: 8.985
Energy of formation in meV/atom: -132

```
YTcPd2
1.0
-1.4248 -3.6027 -2.6784
-3.9932 0.3400 -2.4743
0.1607 0.3477 -4.6943
Y Tc Pd
1 1 2
direct
0.0000 0.0000 0.0000
0.5000 0.5000 0.5000
0.2500 0.2500 0.2500
0.7500 0.7500 0.7500
```

=====

## HgHS3 (GGA-PBE)

Data for an optimized crystal structure of HgHS3.

DFT total energy in eV/atom: -2.179
DOS(E_F) in states/eV/f.u.: 3.9
ρ in g cm⁻³: 6.409

```
HgHS3
1.0
-2.7402 -3.2448 0.2959
1.2958 -0.7305 3.9890
-2.9895 2.6575 1.4578
H S Hg
1 3 1
direct
0.0000 0.0000 0.0000
0.0000 0.5000 0.0000
0.0000 0.0000 0.5000
0.5000 0.0000 0.0000
0.5000 0.5000 0.5000
```

=====

## SrCa5Ag6 (GGA-PBE)

Data for an optimized crystal structure of SrCa5Ag6.

DFT total energy in eV/atom: -2.699
DOS(E_F) in states/eV/f.u.: 9.1
ρ in g cm⁻³: 4.902
Energy of formation in meV/atom: -299

```
SrCa5Ag6
1.0
5.1705 0.0022 -1.1055
-0.0033 7.5628 -0.0008
-1.0028 0.0004 8.3160
Sr Ca Ag
1 5 6
direct
0.0000 0.0000 0.0000
0.6677 0.5000 0.3317
0.3305 0.0000 0.6638
0.0000 0.5000 0.0000
0.6695 0.0000 0.3362
0.3323 0.5000 0.6683
0.8256 0.7425 0.6585
0.8256 0.2575 0.6585
0.5000 0.2625 0.0000
0.5000 0.7375 0.0000
0.1744 0.7425 0.3415
0.1744 0.2575 0.3415
```

=====

## Dy6CoBi2 (GGA-PBE)

Data for an optimized crystal structure of Dy6CoBi2.

DFT total energy in eV/atom: -5.115
DOS(E_F) in states/eV/f.u.: 10.0
ρ in g cm⁻³: 9.222
Energy of formation in meV/atom: -395

```
Dy6CoBi2
1.0
6.4516 0.0000 0.1317
0.0000 7.9231 0.0000
-0.5733 0.0000 10.2176
Dy Co Bi
12 2 4
direct
0.8812 0.9813 0.2548
0.8603 0.6880 0.5379
0.8531 0.6818 0.9619
0.6469 0.1818 0.5381
0.6397 0.1880 0.9621
0.6188 0.4813 0.2452
0.1188 0.0187 0.7452
0.1397 0.3120 0.4621
0.1469 0.3182 0.0381
0.3531 0.8182 0.4619
0.3603 0.8120 0.0379
0.3812 0.5187 0.7548
0.5000 0.5000 0.0000
0.0000 0.0000 0.5000
0.9059 0.3893 0.7500
0.5941 0.8893 0.7500
0.4059 0.1107 0.2500
0.0941 0.6107 0.2500
```

=====

## Tl2In6GaSn (GGA-PBE)

Data for an optimized crystal structure of Tl2In6GaSn.

DFT total energy in eV/atom: -2.760
DOS(E_F) in states/eV/f.u.: 4.5
ρ in g cm⁻³: 7.532
Energy of formation in meV/atom: 59

```
Tl2In6GaSn
1.0
7.2498 -0.1632 1.9937
0.0475 8.2545 0.1923
5.0955 4.2903 6.2340
Tl In Ga Sn
2 6 1 1
direct
0.7411 0.4467 0.4945
0.2589 0.5533 0.5055
0.8856 0.0919 0.7163
0.9291 0.6738 0.9419
0.4906 0.9195 0.7318
0.5094 0.0805 0.2682
0.0709 0.3262 0.0581
0.1144 0.9081 0.2837
0.0000 0.0000 0.0000
0.5000 0.5000 0.0000
```

=====

## Dy4Mg5Ru2 (GGA-PBE)

Data for an optimized crystal structure of Dy4Mg5Ru2.

DFT total energy in eV/atom: -4.268
DOS(E_F) in states/eV/f.u.: 8.1
ρ in g cm⁻³: 5.909
Energy of formation in meV/atom: -183

```
Dy4Mg5Ru2
1.0
3.5149 0.0000 0.0000
0.0000 7.8629 0.0700
0.0000 -0.6708 9.8944
Dy Mg Ru
4 5 2
direct
0.5000 0.7960 0.5486
0.5000 0.1656 0.8540
0.5000 0.2040 0.4514
0.5000 0.8344 0.1460
0.0000 0.5573 0.3232
0.0000 0.1877 0.1620
0.0000 0.5000 0.0000
0.0000 0.8123 0.8380
0.0000 0.4427 0.6768
0.0000 0.0719 0.6495
0.0000 0.9281 0.3505
```

=====

## BaBeRh2 (GGA-PBE)

Data for an optimized crystal structure of BaBeRh2.

DFT total energy in eV/atom: -4.615
DOS(E_F) in states/eV/f.u.: 2.8
ρ in g cm⁻³: 7.948
Energy of formation in meV/atom: 473

```
BaBeRh2
1.0
-0.9573 -1.2997 -4.0654
-3.4286 -2.2588 1.5295
-2.2376 3.0854 -0.4595
Be Rh Ba
1 2 1
direct
0.0000 0.5000 0.5000
0.0000 0.0000 0.0000
0.5000 0.5000 0.0000
0.5000 0.0000 0.5000
```

=====

## Na2Tl5S4 (GGA-PBE)

Data for an optimized crystal structure of Na2Tl5S4.

DFT total energy in eV/atom: -3.276
DOS(E_F) in states/eV/f.u.: 5.4
ρ in g cm⁻³: 6.653
Raw formation energy in kJ per mole of atoms: -44

```
Na2Tl5S4
1.0
4.1045 0.0001 -0.9044
-0.7620 9.4269 -3.4548
-0.3012 -1.6268 8.4076
Na Tl S
2 5 4
direct
0.5491 0.6926 0.0980
0.4509 0.3074 0.9020
0.2569 0.8358 0.5127
0.7431 0.1642 0.4873
0.1390 0.3421 0.2780
0.5000 0.0000 0.0000
0.8610 0.6579 0.7220
0.6497 0.5411 0.2986
0.1119 0.9049 0.2235
0.3503 0.4589 0.7014
0.8881 0.0951 0.7765
```

=====

## CdCo2RhN (GGA-PBE)

Data for an optimized crystal structure of CdCo2RhN.

DFT total energy in eV/atom: -6.109
DOS(E_F) in states/eV/f.u.: 5.4
ρ in g cm⁻³: 9.311
Raw formation energy in kJ per mole of atoms: 5

```
CdCo2RhN
1.0
3.8618 0.0000 0.0000
0.0000 3.8618 0.0000
0.0000 0.0000 4.1520
Co N Rh Cd
2 1 1 1
direct
0.0000 0.5000 0.0000
0.5000 0.0000 0.0000
0.0000 0.0000 0.0000
0.0000 0.0000 0.5000
0.5000 0.5000 0.5000
```

=====

## MgCoPd2 (GGA-PBE)

Data for an optimized crystal structure of MgCoPd2.

DFT total energy in eV/atom: -4.625
DOS(E_F) in states/eV/f.u.: 4.0
ρ in g cm⁻³: 7.540
Energy of formation in meV/atom: 147

```
MgCoPd2
1.0
-0.7329 -2.5865 -2.7777
-2.5461 -1.7630 2.3134
-7.9949 2.9465 -3.3240
Mg Co Pd
2 2 4
direct
0.5000 0.5000 0.0000
0.2500 0.7500 0.5000
0.0000 0.0000 0.0000
0.7500 0.2500 0.5000
0.6348 0.1250 0.2500
0.1152 0.6250 0.2500
0.3750 0.3652 0.7500
0.8750 0.8848 0.7500
```

=====

## MnTc2As4 (GGA-PBE)

Data for an optimized crystal structure of MnTc2As4.

DFT total energy in eV/atom: -7.140
DOS(E_F) in states/eV/f.u.: 2.7
ρ in g cm⁻³: 7.741
Energy of formation in meV/atom: -211

```
MnTc2As4
1.0
6.4173 -0.1119 -1.5772
-3.7690 5.1951 -1.5772
0.0673 0.1292 7.0964
Mn Tc As
2 4 8
direct
0.2182 0.4593 0.4309
0.4593 0.2182 0.9309
0.5028 0.2596 0.5343
0.7800 0.0241 0.0317
0.0241 0.7800 0.5317
0.2596 0.5028 0.0343
0.8109 0.3263 0.8488
0.3263 0.8109 0.3488
0.2977 0.7676 0.8220
0.7676 0.2977 0.3220
0.1640 0.2300 0.6601
0.7352 0.6855 0.1737
0.6855 0.7352 0.6737
0.2300 0.1640 0.1601
```

=====

## ScGaOs2W (GGA-PBE)

Data for an optimized crystal structure of ScGaOs2W.

DFT total energy in eV/atom: -6.765
DOS(E_F) in states/eV/f.u.: 8.2
ρ in g cm⁻³: 11.682
Energy of formation in meV/atom: 2190

```
ScGaOs2W
1.0
-1.7318 2.9446 3.0227
0.9423 -2.9718 3.4348
4.1169 1.8964 0.5113
Sc Os Ga W
1 2 1 1
direct
0.0000 0.0000 0.0000
0.0000 0.0000 0.5000
0.5000 0.0000 0.0000
0.0000 0.5000 0.0000
0.5000 0.5000 0.5000
```

=====

## Ac2PrC2N6 (GGA-PBE)

Data for an optimized crystal structure of Ac2PrC2N6.

DFT total energy in eV/atom: -8.121
DOS(E_F) in states/eV/f.u.: 5.1
ρ in g cm⁻³: 7.419
Raw formation energy in kJ per mole of atoms: -70

```
Ac2PrC2N6
1.0
-2.6374 4.4634 1.7176
1.9214 -3.6626 3.7850
4.6672 3.9530 -3.1058
Ac Pr C N
2 1 2 6
direct
0.7081 0.4162 0.1884
0.2919 0.5838 0.8116
0.5000 0.0000 0.5000
0.9507 0.9014 0.7556
0.0493 0.0986 0.2444
0.7893 0.5785 0.6598
0.1827 0.9323 0.1994
0.2504 0.0677 0.8006
0.8173 0.0677 0.8006
0.7496 0.9323 0.1994
0.2107 0.4215 0.3402
```

=====

## LiNdRhPb (GGA-PBE)

Data for an optimized crystal structure of LiNdRhPb.

DFT total energy in eV/atom: -4.917
DOS(E_F) in states/eV/f.u.: 5.0
ρ in g cm⁻³: 9.255
Energy of formation in meV/atom: -482

```
LiNdRhPb
1.0
4.8916 0.0000 0.0000
2.4458 4.2362 0.0000
2.4458 1.4121 3.9940
Pb Rh Nd Li
1 1 1 1
direct
0.7500 0.7500 0.7500
0.5000 0.5000 0.5000
0.2500 0.2500 0.2500
0.0000 0.0000 0.0000
```

=====

## RbSiSbC2 (GGA-PBE)

Data for an optimized crystal structure of RbSiSbC2.

DFT total energy in eV/atom: -3.656
DOS(E_F) in states/eV/f.u.: 3.2
ρ in g cm⁻³: 3.940
Raw formation energy in kJ per mole of atoms: 206

```
RbSiSbC2
1.0
-3.1733 -2.7544 -1.6874
3.6577 -3.8259 -0.6334
-0.8838 -1.5349 4.1673
Sb Si C Rb
1 1 2 1
direct
0.0000 0.0000 0.0000
0.0000 0.5000 0.0000
0.0000 0.0000 0.5000
0.5000 0.0000 0.0000
0.5000 0.5000 0.5000
```

=====

## Sm6Lu (GGA-PBE)

Data for an optimized crystal structure of Sm6Lu.

DFT total energy in eV/atom: -3.304
DOS(E_F) in states/eV/f.u.: 5.1
ρ in g cm⁻³: 6.790
Energy of formation in meV/atom: 1387

```
Sm6Lu
1.0
6.9944 0.0000 0.0000
-2.3315 6.5943 0.0000
-2.3315 -3.2972 5.7109
Sm Lu
6 1
direct
0.2500 0.7500 0.5000
0.5000 0.7500 0.2500
0.2500 0.5000 0.7500
0.7500 0.2500 0.5000
0.5000 0.2500 0.7500
0.7500 0.5000 0.2500
0.0000 0.0000 0.0000
```

=====

## PmGa4Tc (GGA-PBE)

Data for an optimized crystal structure of PmGa4Tc.

DFT total energy in eV/atom: -4.801
DOS(E_F) in states/eV/f.u.: 3.1
ρ in g cm⁻³: 7.321
Energy of formation in meV/atom: -263

```
PmGa4Tc
1.0
5.0647 -0.2534 -1.2393
-0.2728 6.1767 -2.3743
-0.7598 -0.5107 7.9880
Pm Ga Tc
2 8 2
direct
0.2173 0.2165 0.4329
0.7827 0.7835 0.5671
0.8358 0.3351 0.6701
0.6068 0.3142 0.2127
0.9999 0.1777 0.0000
0.3932 0.1016 0.7874
0.1642 0.6649 0.3299
0.3932 0.6858 0.7873
0.0001 0.8223 0.0000
0.6068 0.8984 0.2126
0.7370 0.4999 0.9998
0.2630 0.5001 0.0002
```

=====

## TePtPb2I (GGA-PBE)

Data for an optimized crystal structure of TePtPb2I.

DFT total energy in eV/atom: -3.388
DOS(E_F) in states/eV/f.u.: 3.6
ρ in g cm⁻³: 7.620
Raw formation energy in kJ per mole of atoms: 23

```
TePtPb2I
1.0
6.1956 0.0000 0.0000
0.0000 4.9052 0.0000
0.0000 0.0000 6.1956
Pb I Te Pt
2 1 1 1
direct
0.0000 0.0000 0.5000
0.5000 0.0000 0.0000
0.5000 0.5000 0.5000
0.0000 0.0000 0.0000
0.0000 0.5000 0.0000
```

=====

## Sm2Al3Zn5 (GGA-PBE)

Data for an optimized crystal structure of Sm2Al3Zn5.

DFT total energy in eV/atom: -3.086
DOS(E_F) in states/eV/f.u.: 3.6
ρ in g cm⁻³: 6.169
Energy of formation in meV/atom: -382

```
Sm2Al3Zn5
1.0
-2.1999 5.1829 -2.0108
-4.2925 4.0328 6.2026
5.2305 6.4562 2.0302
Sm Al Zn
4 6 10
direct
0.1247 0.6214 0.1291
0.6247 0.1291 0.6214
0.8753 0.3786 0.8709
0.3753 0.8709 0.3786
0.3714 0.4977 0.7596
0.8714 0.7596 0.4977
0.6286 0.5023 0.2404
0.1286 0.2404 0.5023
0.2500 0.0000 0.0000
0.7500 0.0000 0.0000
0.3759 0.2635 0.9847
0.8759 0.9847 0.2635
0.6241 0.7365 0.0153
0.1241 0.0153 0.7365
0.4917 0.7583 0.7583
0.5083 0.2417 0.2417
0.7500 0.5000 0.5000
0.2500 0.5000 0.5000
0.0083 0.2417 0.2417
0.9917 0.7583 0.7583
```

=====

## FeGePd3 (GGA-PBE)

Data for an optimized crystal structure of FeGePd3.

DFT total energy in eV/atom: -5.020
DOS(E_F) in states/eV/f.u.: 4.1
ρ in g cm⁻³: 7.532
Energy of formation in meV/atom: 712

```
FeGePd3
1.0
4.6216 0.0000 0.0000
0.0000 4.6216 0.0000
0.0000 0.0000 4.6216
Ge Fe Pd
1 1 3
direct
0.5000 0.5000 0.5000
0.0000 0.0000 0.0000
0.0000 0.5000 0.0000
0.0000 0.0000 0.5000
0.5000 0.0000 0.0000
```

=====

## Pm6Pd2Ru (GGA-PBE)

Data for an optimized crystal structure of Pm6Pd2Ru.

DFT total energy in eV/atom: -5.778
DOS(E_F) in states/eV/f.u.: 8.3
ρ in g cm⁻³: 7.567
Energy of formation in meV/atom: -426

```
Pm6Pd2Ru
1.0
6.6650 0.0000 0.1570
0.0000 7.5414 0.0000
-0.5882 0.0000 10.3241
Pm Pd Ru
12 4 2
direct
0.8485 0.9600 0.2495
0.8295 0.6780 0.5690
0.8380 0.6808 0.9322
0.6620 0.1808 0.5678
0.6705 0.1780 0.9310
0.6515 0.4600 0.2505
0.1515 0.0400 0.7505
0.1705 0.3220 0.4310
0.1620 0.3192 0.0678
0.3380 0.8192 0.4322
0.3295 0.8220 0.0690
0.3485 0.5400 0.7495
0.9376 0.3836 0.7594
0.5624 0.8836 0.7406
0.4376 0.1164 0.2594
0.0624 0.6164 0.2406
0.5000 0.5000 0.0000
0.0000 0.0000 0.5000
```

=====

## CrCoSi2 (GGA-PBE)

Data for an optimized crystal structure of CrCoSi2.

DFT total energy in eV/atom: -7.226
DOS(E_F) in states/eV/f.u.: 2.8
ρ in g cm⁻³: 6.183
Raw formation energy in kJ per mole of atoms: -32

```
CrCoSi2
1.0
3.9958 0.0000 0.0000
0.0000 3.9961 0.0000
0.0000 0.0000 2.8104
Co Cr Si
1 1 2
direct
0.5000 0.0000 0.5000
0.0000 0.5000 0.5000
0.0000 0.0000 0.0000
0.5000 0.5000 0.0000
```

=====

## NdSmCu2Se4 (GGA-PBE)

Data for an optimized crystal structure of NdSmCu2Se4.

DFT total energy in eV/atom: -5.019
DOS(E_F) in states/eV/f.u.: 0.8
ρ in g cm⁻³: 6.371
Raw formation energy in kJ per mole of atoms: -103

```
NdSmCu2Se4
1.0
-1.9171 -0.6588 -6.6112
2.2305 -4.5268 -3.8120
-4.4684 -4.0441 -1.9176
Nd Sm Cu Se
1 1 2 4
direct
0.0000 0.0000 0.0000
0.5000 0.5000 0.5000
0.1584 0.3416 0.3416
0.8416 0.6584 0.6584
0.4419 0.0673 0.5338
0.0429 0.9327 0.4662
0.9571 0.5338 0.0673
0.5581 0.4662 0.9327
```